[1]
A geometry-optimized Tl2FeW structure, computed with PBE.

* distance to the lowest polymorph of the same formula: 0.2811 eV per atom
* calculated density: 13.3 Mg/m³
* space-group type: Imm2, No. 44
* ΔH_f (0 K): 0.826 eV per atom

The structure in extended XYZ format:
```
4
Lattice="6.256 -0.008 0.042 3.668 5.068 -0.042 -4.409 -3.614 2.577" Properties=species:S:1:pos:R:3 pbc="T T T"
Fe 2.517 2.199 1.267
Tl 0.163 0.083 0.000
Tl 3.223 -0.639 1.309
W 4.574 2.332 0.000
```

***

[2]
A geometry-optimized TlFeW3 structure, computed with PBE.

* distance to the lowest polymorph of the same formula: 0.0000 eV per atom
* calculated density: 14.5 Mg/m³
* space-group type: Pm-3m, No. 221
* ΔH_f (0 K): 1.400 eV per atom

The structure in extended XYZ format:
```
5
Lattice="-3.836 0.221 2.391 -2.272 -1.791 -3.480 0.777 -4.150 1.629" Properties=species:S:1:pos:R:3 pbc="T T T"
Tl -2.666 -2.861 0.270
Fe 0.000 0.000 0.000
W -1.136 -0.896 -1.740
W 0.388 -2.075 0.815
W -1.918 0.110 1.196
```

***

[3]
A geometry-optimized TlFeW2 structure, computed with PBE.

* distance to the lowest polymorph of the same formula: 0.0783 eV per atom
* calculated density: 15.5 Mg/m³
* space-group type: P2/m, No. 10
* ΔH_f (0 K): 0.697 eV per atom

The structure in extended XYZ format:
```
4
Lattice="4.193 0.000 0.000 0.000 2.821 -0.040 0.000 2.230 5.645" Properties=species:S:1:pos:R:3 pbc="T T T"
Fe 2.096 1.263 1.401
Tl 2.096 3.788 4.204
W 0.000 0.188 0.221
W 0.000 2.337 2.582
```